Here is an optimized crystal structure of Rb2TlVF from Alexandria. Energies are from GGA+U.

## Properties
Fermi-level density of states   0.8105 states/eV per atom
Symmetry   No. 123
Volume   166 Å³/cell
Raw total energy   -15.64 eV per cell
M_tot   3.8 μB/f.u.
Crystal system   tetragonal

a = 6.1463 Å, b = 4.3925 Å, c = 6.1463 Å
α = 90.00°, β = 90.00°, γ = 90.00°
Last column: magnetic moment on the atom in μB.
Positions (direct):
Rb (0.5000, 0.0000, 0.0000)  -0.02
Rb (0.0000, 0.0000, 0.5000)  0.00
F (0.0000, 0.0000, 0.0000)  -0.02
Tl (0.5000, 0.5000, 0.5000)  0.00
V (0.0000, 0.5000, 0.0000)  -3.03